Entry 1:
Compound: CaAsOs3
Source: Alexandria
Functional: PBE-GGA
Structure: optimized geometry

Cell and atoms, written as CIF:
```
data_CaAsOs3
_space_group_name_H-M_alt 'P 1'
_space_group_IT_number 1
_cell_length_a 4.605
_cell_length_b 4.605
_cell_length_c 4.605
_cell_angle_alpha 90.00
_cell_angle_beta 90.00
_cell_angle_gamma 90.00
loop_
_space_group_symop_operation_xyz
'x,y,z'
loop_
_atom_site_label
_atom_site_type_symbol
_atom_site_fract_x
_atom_site_fract_y
_atom_site_fract_z
_atom_site_occupancy
Ca1 Ca 0.000 0.000 0.000 1
As1 As 0.500 0.500 0.500 1
Os1 Os 0.000 0.500 0.500 1
Os2 Os 0.500 0.000 0.500 1
Os3 Os 0.500 0.500 0.000 1
```

SG: Pm-3m
Offset from the most stable computed form (eV/f.u.): 0.000

---

Entry 2:
Compound: CaAs2Os
Source: Alexandria
Functional: PBE-GGA
Structure: optimized geometry

Cell and atoms, written as CIF:
```
data_CaAs2Os
_space_group_name_H-M_alt 'P 1'
_space_group_IT_number 1
_cell_length_a 6.631
_cell_length_b 6.631
_cell_length_c 6.631
_cell_angle_alpha 90.00
_cell_angle_beta 90.00
_cell_angle_gamma 90.00
loop_
_space_group_symop_operation_xyz
'x,y,z'
loop_
_atom_site_label
_atom_site_type_symbol
_atom_site_fract_x
_atom_site_fract_y
_atom_site_fract_z
_atom_site_occupancy
Ca1 Ca 0.000 0.000 0.000 1
Ca2 Ca 0.000 0.500 0.500 1
Ca3 Ca 0.500 0.000 0.500 1
Ca4 Ca 0.500 0.500 0.000 1
As1 As 0.000 0.000 0.500 1
As2 As 0.000 0.500 0.000 1
As3 As 0.250 0.250 0.250 1
As4 As 0.250 0.750 0.750 1
As5 As 0.500 0.000 0.000 1
As6 As 0.500 0.500 0.500 1
As7 As 0.750 0.250 0.750 1
As8 As 0.750 0.750 0.250 1
Os1 Os 0.250 0.250 0.750 1
Os2 Os 0.250 0.750 0.250 1
Os3 Os 0.750 0.250 0.250 1
Os4 Os 0.750 0.750 0.750 1
```

SG: F-43m
Offset from the most stable computed form (eV/f.u.): 3.199

---

Entry 3:
Compound: CaAs12Os4
Source: Alexandria
Functional: PBE-GGA
Structure: optimized geometry

Cell and atoms, written as CIF:
```
data_CaAs12Os4
_space_group_name_H-M_alt 'P 1'
_space_group_IT_number 1
_cell_length_a 7.477
_cell_length_b 7.477
_cell_length_c 7.477
_cell_angle_alpha 109.47
_cell_angle_beta 109.47
_cell_angle_gamma 109.47
loop_
_space_group_symop_operation_xyz
'x,y,z'
loop_
_atom_site_label
_atom_site_type_symbol
_atom_site_fract_x
_atom_site_fract_y
_atom_site_fract_z
_atom_site_occupancy
Ca1 Ca 0.000 0.000 0.000 1
As1 As 0.149 0.349 0.498 1
As2 As 0.149 0.651 0.800 1
As3 As 0.200 0.851 0.349 1
As4 As 0.349 0.200 0.851 1
As5 As 0.349 0.498 0.149 1
As6 As 0.498 0.149 0.349 1
As7 As 0.502 0.851 0.651 1
As8 As 0.651 0.502 0.851 1
As9 As 0.651 0.800 0.149 1
As10 As 0.800 0.149 0.651 1
As11 As 0.851 0.349 0.200 1
As12 As 0.851 0.651 0.502 1
Os1 Os 0.000 0.000 0.500 1
Os2 Os 0.000 0.500 0.000 1
Os3 Os 0.500 0.000 0.000 1
Os4 Os 0.500 0.500 0.500 1
```

Total energy (eV per atom): -6.314
SG: Im-3

---

Entry 4:
Compound: CaAsOs2
Source: Alexandria
Functional: PBE-GGA
Structure: optimized geometry

Cell and atoms, written as CIF:
```
data_CaAsOs2
_space_group_name_H-M_alt 'P 1'
_space_group_IT_number 1
_cell_length_a 2.898
_cell_length_b 4.304
_cell_length_c 5.751
_cell_angle_alpha 90.00
_cell_angle_beta 90.00
_cell_angle_gamma 90.00
loop_
_space_group_symop_operation_xyz
'x,y,z'
loop_
_atom_site_label
_atom_site_type_symbol
_atom_site_fract_x
_atom_site_fract_y
_atom_site_fract_z
_atom_site_occupancy
Ca1 Ca 0.000 0.000 0.000 1
As1 As 0.000 0.000 0.500 1
Os1 Os 0.500 0.500 0.292 1
Os2 Os 0.500 0.500 0.708 1
```

Total energy (eV per atom): -6.597
SG: Pmmm